Record 1
{"formula": "In2AgW", "functional": "PBE-GGA", "state": "relaxed", "lattice_angstrom": [[-3.588, -2.408, -1.440], [-0.665, -0.649, 2.742], [-3.463, 4.849, 0.521]], "species": ["Ag", "W", "In", "In"], "frac_coords": [[0.500, 0.750, 0.750], [0.500, 0.250, 0.250], [0.000, 0.776, 0.015], [0.000, 0.724, 0.485]], "e_form_mev_per_atom": 535}

=====

Record 2
{"formula": "Pm2NdAs3Rh4", "functional": "PBE-GGA", "state": "relaxed", "lattice_angstrom": [[4.166, 0.000, 0.000], [0.000, 4.166, 0.000], [0.000, 0.000, 11.511]], "species": ["Pm", "Pm", "Nd", "As", "As", "As", "Rh", "Rh", "Rh", "Rh"], "frac_coords": [[0.500, 0.000, 0.220], [0.000, 0.500, 0.780], [0.500, 0.500, 0.500], [0.000, 0.000, 0.500], [0.500, 0.000, 0.874], [0.000, 0.500, 0.126], [0.500, 0.500, 0.000], [0.000, 0.000, 0.000], [0.500, 0.000, 0.665], [0.000, 0.500, 0.335]], "e_form_mev_per_atom": -911}

=====

Record 3
{"formula": "Ac6MgSe8", "functional": "PBE-GGA", "state": "relaxed", "lattice_angstrom": [[7.736, 0.314, 2.774], [2.053, 7.465, 2.774], [0.395, 0.314, 8.209]], "species": ["Ac", "Ac", "Ac", "Ac", "Ac", "Ac", "Mg", "Se", "Se", "Se", "Se", "Se", "Se", "Se", "Se"], "frac_coords": [[0.088, 0.468, 0.694], [0.306, 0.912, 0.532], [0.532, 0.306, 0.912], [0.468, 0.694, 0.088], [0.694, 0.088, 0.468], [0.912, 0.532, 0.306], [0.000, 0.000, 0.000], [0.174, 0.657, 0.914], [0.086, 0.826, 0.343], [0.343, 0.086, 0.826], [0.674, 0.674, 0.674], [0.326, 0.326, 0.326], [0.657, 0.914, 0.174], [0.914, 0.174, 0.657], [0.826, 0.343, 0.086]], "formation_energy_uncorrected_kj_per_mol_atoms": -169.63}

=====

Record 4
{"formula": "Sc2Se", "functional": "PBE-GGA", "state": "relaxed", "lattice_angstrom": [[1.740, -7.178, 0.000], [1.740, 7.178, 0.000], [0.000, 0.000, 5.084]], "species": ["Sc", "Sc", "Sc", "Sc", "Se", "Se"], "frac_coords": [[0.730, 0.270, 0.750], [0.426, 0.574, 0.750], [0.270, 0.730, 0.250], [0.574, 0.426, 0.250], [0.079, 0.921, 0.750], [0.921, 0.079, 0.250]], "formation_energy_uncorrected_kj_per_mol_atoms": -77.81}

=====

Record 5
{"formula": "NdHfCd2", "functional": "PBE-GGA", "state": "relaxed", "lattice_angstrom": [[3.558, 0.000, 0.000], [0.000, 3.558, 0.000], [0.000, 0.000, 7.767]], "species": ["Nd", "Hf", "Cd", "Cd"], "frac_coords": [[0.500, 0.500, 0.500], [0.500, 0.500, 0.000], [0.000, 0.000, 0.783], [0.000, 0.000, 0.217]], "e_form_mev_per_atom": -78}

=====

Record 6
{"formula": "HfBiOF2", "functional": "PBE-GGA", "state": "relaxed", "lattice_angstrom": [[-1.111, -2.161, 3.872], [0.395, -4.024, -2.132], [4.479, -0.186, 1.181]], "species": ["Hf", "Bi", "O", "F", "F"], "frac_coords": [[0.500, 0.500, 0.500], [0.000, 0.000, 0.000], [0.000, 0.000, 0.500], [0.000, 0.500, 0.000], [0.500, 0.000, 0.000]], "formation_energy_uncorrected_kj_per_mol_atoms": -62.16}

=====

Record 7
{"formula": "AcPmTm2", "functional": "PBE-GGA", "state": "relaxed", "lattice_angstrom": [[-0.414, -1.674, 5.012], [1.084, -3.062, 1.870], [9.626, 1.275, 4.024]], "species": ["Ac", "Pm", "Tm", "Tm"], "frac_coords": [[0.500, 0.000, 0.000], [0.500, 0.500, 0.500], [0.000, 0.739, 0.261], [0.000, 0.261, 0.739]], "e_form_mev_per_atom": 53}

=====

Record 8
{"formula": "U4Se2S5", "functional": "PBE-GGA", "state": "relaxed", "lattice_angstrom": [[-3.145, -0.682, 1.708], [3.218, -3.872, 4.378], [1.860, 12.341, 4.464]], "species": ["U", "U", "U", "U", "Se", "Se", "S", "S", "S", "S", "S"], "frac_coords": [[0.000, 0.314, 0.000], [0.635, 0.635, 0.271], [0.000, 0.686, 0.000], [0.365, 0.365, 0.729], [0.265, 0.265, 0.530], [0.735, 0.735, 0.470], [0.895, 0.135, 0.790], [0.895, 0.654, 0.790], [0.105, 0.346, 0.210], [0.105, 0.865, 0.210], [0.500, 0.000, 0.000]], "formation_energy_uncorrected_kj_per_mol_atoms": -70.84}

=====

Number 1: N(E_F) 2.5 states/eV per cell, E -4.79 eV/atom. Number 2: N(E_F) 6.6 states/eV per cell, E -6.67 eV/atom. Number 3: N(E_F) 5.8 states/eV per cell, E -5.37 eV/atom. Number 4: N(E_F) 5.3 states/eV per cell, E -6.19 eV/atom. Number 5: N(E_F) 4.0 states/eV per cell, E -4.22 eV/atom. Number 6: N(E_F) 5.4 states/eV per cell, E -5.15 eV/atom. Number 7: N(E_F) 5.4 states/eV per cell, E -4.40 eV/atom. Number 8: N(E_F) 13.9 states/eV per cell, E -7.35 eV/atom.